# YPCl2 PBE relaxed
data_YPCl2
_cell_length_a 4.2484
_cell_length_b 4.1038
_cell_length_c 5.4523
_cell_angle_alpha 90.00
_cell_angle_beta 96.30
_cell_angle_gamma 90.00
_symmetry_space_group_name_H-M 'P 1 m 1'
_symmetry_Int_Tables_number 6
loop_
_symmetry_equiv_pos_as_xyz
'x,y,z'
'x,-y,z'
loop_
_atom_site_label
_atom_site_fract_x
_atom_site_fract_y
_atom_site_fract_z
Y1 0.0000 0.0000 0.0000
P1 0.5132 0.5000 0.0666
Cl1 0.1591 0.0000 0.4792
Cl2 0.7009 0.5000 0.7093
# Formation energy without anion corrections, meV per atom: -1246.8
# V, Å³/cell: 94.5

# YP3Cl PBE relaxed
data_YP3Cl
_cell_length_a 5.3041
_cell_length_b 5.3041
_cell_length_c 5.3041
_cell_angle_alpha 90.00
_cell_angle_beta 90.00
_cell_angle_gamma 90.00
_symmetry_space_group_name_H-M 'P m -3 m'
_symmetry_Int_Tables_number 221
_symmetry_space_group_name_Hall '-P 4 2 3'
loop_
_atom_site_label
_atom_site_fract_x
_atom_site_fract_y
_atom_site_fract_z
Y1 0.0000 0.0000 0.0000
P1 0.0000 0.0000 0.5000
Cl1 0.5000 0.5000 0.5000
# Formation energy without anion corrections, meV per atom: 764.5
# V, Å³/cell: 149.2

# YP2Cl PBE relaxed
data_YP2Cl
_cell_length_a 7.4898
_cell_length_b 3.9253
_cell_length_c 7.7201
_cell_angle_alpha 90.00
_cell_angle_beta 101.90
_cell_angle_gamma 90.00
_symmetry_space_group_name_H-M 'C 1 m 1'
_symmetry_Int_Tables_number 8
loop_
_symmetry_equiv_pos_as_xyz
'x,y,z'
'x,-y,z'
'x+1/2,y+1/2,z'
'x+1/2,-y+1/2,z'
loop_
_atom_site_label
_atom_site_fract_x
_atom_site_fract_y
_atom_site_fract_z
Y1 0.0000 0.0000 0.0000
P1 0.0064 0.5000 0.2951
P2 0.2367 0.5000 0.1881
Cl1 0.2930 0.0000 0.7885
# Formation energy without anion corrections, meV per atom: -961.0
# V, Å³/cell: 222.1

# YPCl2 PBE relaxed
data_YPCl2
_cell_length_a 3.2639
_cell_length_b 3.2639
_cell_length_c 9.7749
_cell_angle_alpha 90.00
_cell_angle_beta 90.00
_cell_angle_gamma 90.00
_symmetry_space_group_name_H-M 'P 4/m m m'
_symmetry_Int_Tables_number 123
_symmetry_space_group_name_Hall '-P 4 2'
loop_
_atom_site_label
_atom_site_fract_x
_atom_site_fract_y
_atom_site_fract_z
Y1 0.0000 0.0000 0.0000
P1 0.0000 0.0000 0.5000
Cl1 0.5000 0.5000 0.1634
# Formation energy without anion corrections, meV per atom: -737.3
# V, Å³/cell: 104.1

# YP2Cl PBE relaxed
data_YP2Cl
_cell_length_a 3.7571
_cell_length_b 3.7571
_cell_length_c 10.6064
_cell_angle_alpha 90.00
_cell_angle_beta 90.00
_cell_angle_gamma 90.00
_symmetry_space_group_name_H-M 'I 4/m m m'
_symmetry_Int_Tables_number 139
_symmetry_space_group_name_Hall '-I 4 2'
loop_
_atom_site_label
_atom_site_fract_x
_atom_site_fract_y
_atom_site_fract_z
Y1 0.0000 0.0000 0.0000
P1 0.0000 0.5000 0.2500
Cl1 0.0000 0.0000 0.5000
# Formation energy without anion corrections, meV per atom: -763.5
# V, Å³/cell: 149.7

# Y5P4Cl PBE relaxed
data_Y5P4Cl
_cell_length_a 4.0174
_cell_length_b 5.6415
_cell_length_c 20.1371
_cell_angle_alpha 90.00
_cell_angle_beta 90.00
_cell_angle_gamma 90.00
_symmetry_space_group_name_H-M 'I m m m'
_symmetry_Int_Tables_number 71
_symmetry_space_group_name_Hall '-I 2 2'
loop_
_atom_site_label
_atom_site_fract_x
_atom_site_fract_y
_atom_site_fract_z
Y1 0.0000 0.0000 0.0000
Y2 0.0000 0.0000 0.1990
Y3 0.0000 0.0000 0.3881
P1 0.0000 0.5000 0.2018
P2 0.0000 0.5000 0.4027
Cl1 0.0000 0.5000 0.0000
# Formation energy without anion corrections, meV per atom: -1637.8
# V, Å³/cell: 456.4

# YZnP2Cl PBE relaxed
data_YZnP2Cl
_cell_length_a 4.5898
_cell_length_b 4.5898
_cell_length_c 5.0139
_cell_angle_alpha 90.00
_cell_angle_beta 90.00
_cell_angle_gamma 90.00
_symmetry_space_group_name_H-M 'P 4/m m m'
_symmetry_Int_Tables_number 123
_symmetry_space_group_name_Hall '-P 4 2'
loop_
_atom_site_label
_atom_site_fract_x
_atom_site_fract_y
_atom_site_fract_z
Y1 0.0000 0.0000 0.0000
Zn1 0.5000 0.5000 0.5000
P1 0.0000 0.5000 0.5000
Cl1 0.5000 0.5000 0.0000
# Formation energy without anion corrections, meV per atom: -254.2
# V, Å³/cell: 105.6

# YZnP2Cl PBE relaxed
data_YZnP2Cl
_cell_length_a 5.4188
_cell_length_b 5.4188
_cell_length_c 5.1918
_cell_angle_alpha 90.00
_cell_angle_beta 90.00
_cell_angle_gamma 90.00
_symmetry_space_group_name_H-M 'P 4/m m m'
_symmetry_Int_Tables_number 123
_symmetry_space_group_name_Hall '-P 4 2'
loop_
_atom_site_label
_atom_site_fract_x
_atom_site_fract_y
_atom_site_fract_z
Y1 0.0000 0.0000 0.0000
Zn1 0.5000 0.5000 0.5000
P1 0.0000 0.5000 0.0000
Cl1 0.0000 0.0000 0.5000
# Formation energy without anion corrections, meV per atom: 99.7
# V, Å³/cell: 152.4

# YZn2PCl PBE relaxed
data_YZn2PCl
_cell_length_a 5.8424
_cell_length_b 5.8424
_cell_length_c 5.0875
_cell_angle_alpha 90.00
_cell_angle_beta 90.00
_cell_angle_gamma 90.00
_symmetry_space_group_name_H-M 'P 4/m m m'
_symmetry_Int_Tables_number 123
_symmetry_space_group_name_Hall '-P 4 2'
loop_
_atom_site_label
_atom_site_fract_x
_atom_site_fract_y
_atom_site_fract_z
Y1 0.0000 0.0000 0.0000
Zn1 0.0000 0.5000 0.0000
P1 0.5000 0.5000 0.5000
Cl1 0.0000 0.0000 0.5000
# Formation energy without anion corrections, meV per atom: 446.9
# V, Å³/cell: 173.7

# YZrPCl2 PBE relaxed
data_YZrPCl2
_cell_length_a 5.0139
_cell_length_b 5.0139
_cell_length_c 5.6391
_cell_angle_alpha 90.00
_cell_angle_beta 90.00
_cell_angle_gamma 90.00
_symmetry_space_group_name_H-M 'P 4/m m m'
_symmetry_Int_Tables_number 123
_symmetry_space_group_name_Hall '-P 4 2'
loop_
_atom_site_label
_atom_site_fract_x
_atom_site_fract_y
_atom_site_fract_z
Y1 0.0000 0.0000 0.0000
Zr1 0.5000 0.5000 0.5000
P1 0.0000 0.0000 0.5000
Cl1 0.0000 0.5000 0.0000
# Formation energy without anion corrections, meV per atom: -489.7
# V, Å³/cell: 141.8

# YZrPCl2 PBE relaxed
data_YZrPCl2
_cell_length_a 4.8601
_cell_length_b 4.8601
_cell_length_c 5.2732
_cell_angle_alpha 90.00
_cell_angle_beta 90.00
_cell_angle_gamma 90.00
_symmetry_space_group_name_H-M 'P 4/m m m'
_symmetry_Int_Tables_number 123
_symmetry_space_group_name_Hall '-P 4 2'
loop_
_atom_site_label
_atom_site_fract_x
_atom_site_fract_y
_atom_site_fract_z
Y1 0.0000 0.0000 0.0000
Zr1 0.5000 0.5000 0.5000
P1 0.5000 0.5000 0.0000
Cl1 0.0000 0.5000 0.5000
# Formation energy without anion corrections, meV per atom: -786.1
# V, Å³/cell: 124.6

# ZnP2Cl PBE relaxed
data_ZnP2Cl
_cell_length_a 3.3686
_cell_length_b 5.2230
_cell_length_c 8.3886
_cell_angle_alpha 90.00
_cell_angle_beta 90.00
_cell_angle_gamma 90.00
_symmetry_space_group_name_H-M 'A m m 2'
_symmetry_Int_Tables_number 38
loop_
_symmetry_equiv_pos_as_xyz
'x,y,z'
'-x,-y,z'
'-x,y,z'
'x,-y,z'
'x,y+1/2,z+1/2'
'-x,-y+1/2,z+1/2'
'-x,y+1/2,z+1/2'
'x,-y+1/2,z+1/2'
loop_
_atom_site_label
_atom_site_fract_x
_atom_site_fract_y
_atom_site_fract_z
Zn1 0.0000 0.0000 0.0000
P1 0.0000 0.0000 0.5632
P2 0.5000 0.0000 0.7391
Cl1 0.5000 0.0000 0.2364
# Formation energy without anion corrections, meV per atom: -27.0
# V, Å³/cell: 147.6

Mass density per entry: 3.4; 2.4; 2.8; 3.0; 4.1; 4.4; 4.0; 2.7; 2.7; 3.3; 3.8; 3.7 g cm⁻³